Computed, not measured: LaSm4Pt2 after structural relaxation at the PBE level of DFT.

a = 6.7226 Å, b = 7.8841 Å, c = 8.2218 Å
α = 112.89°, β = 90.00°, γ = 90.00°
Last column: nearest neighbours and their distance in Å.
Sites, in units of the cell vectors:
Pt (0.2500, 0.2619, 0.9937)  6 Sm 2.96-3.09, 1 La 3.16
Pt (0.7500, 0.7381, 0.0063)  6 Sm 2.96-3.09, 1 La 3.16
Pt (0.7500, 0.3748, 0.4008)  4 Sm 2.80-3.11, 1 La 2.93
Pt (0.2500, 0.6252, 0.5992)  4 Sm 2.80-3.11, 1 La 2.93
Sm (0.5083, 0.4054, 0.7631)  4 Pt 3.07-3.32, 1 Sm 3.25
Sm (0.2500, 0.2547, 0.3512)  2 Pt 2.84-2.96
Sm (0.7500, 0.7453, 0.6488)  2 Pt 2.84-2.96
Sm (0.9917, 0.4054, 0.7631)  4 Pt 3.07-3.32, 1 Sm 3.25
Sm (0.7500, 0.0148, 0.3872)  2 Pt 2.80-3.04
Sm (0.0083, 0.5946, 0.2369)  4 Pt 3.07-3.32, 1 Sm 3.25
Sm (0.4917, 0.5946, 0.2369)  4 Pt 3.07-3.32, 1 Sm 3.25
Sm (0.2500, 0.9852, 0.6128)  2 Pt 2.80-3.04
La (0.2500, 0.8551, 0.9772)  2 Pt 2.93-3.16
La (0.7500, 0.1449, 0.0228)  2 Pt 2.93-3.16

Summary:
ΔE_f   -627 meV per atom
Space group   P2_1/m
Total magnetic moment   0.0 μB per cell